The following is a DFT calculation (PBE-GGA) of NaAgTe2MoS after structural relaxation.

Summary:
symmetry = Cmcm (63)
electronic total energy = -0.3243 Ry/atom

```
12
Lattice="1.993 -7.169 0.000 1.993 7.169 0.000 0.000 0.000 10.160" Properties=species:S:1:pos:R:3 pbc="T T T"
Na 1.993 3.636 7.620
Na 1.993 -3.636 2.540
Ag 1.993 6.506 2.540
Ag 1.993 -6.506 7.620
Te 1.993 5.158 0.199
Te 1.993 5.158 4.881
Te 1.993 -5.158 5.279
Te 1.993 -5.158 9.961
Mo 1.993 0.000 0.000
Mo 1.993 0.000 5.080
S 1.993 0.861 2.540
S 1.993 -0.861 7.620
```